Record 1
Below is a geometry-optimized Tl5As structure, with properties calculated at the PBE-GGA level.

a = 4.689 Å, b = 14.830 Å, c = 5.132 Å
α = 90.00°, β = 90.00°, γ = 90.00°
Space group Cmmm (No. 65)
One atom of each set of equivalent atoms:
Tl1 0.000 0.000 0.000
Tl2 0.000 0.151 0.500
Tl3 0.000 0.341 0.000
As1 0.000 0.500 0.500

Properties
energy above the lowest structure with this stoichiometry = 1 kJ/mol of formula units
magnetization = 0.000 μB/f.u.
ΔH_f (0 K) = 0.032 eV per atom

---

Record 2
Below is a geometry-optimized TlAs structure, with properties calculated at the PBE-GGA level.

a = 4.5856 Å, b = 4.5856 Å, c = 20.2046 Å
α = 90.00°, β = 90.00°, γ = 120.00°
Space group R-3m (No. 166, hexagonal axes)
One atom of each set of equivalent atoms:
Tl1 0.0000 0.0000 0.1011
As1 0.0000 0.0000 0.3189

Properties
magnetization = 0.000 μB/f.u.
ΔH_f (0 K) = 0.120 eV per atom

---

Record 3
Below is a geometry-optimized Tl3As structure, with properties calculated at the PBE-GGA level.

a = 7.084 Å, b = 9.774 Å, c = 6.879 Å
α = 90.00°, β = 90.00°, γ = 90.00°
Space group Pnma (No. 62)
One atom of each set of equivalent atoms:
Tl1 0.020 0.250 0.093
Tl2 0.211 0.048 0.675
As1 0.056 0.750 0.483

Properties
magnetization = 0.000 μB/f.u.
ΔH_f (0 K) = 0.028 eV per atom

---

Record 4
Below is a geometry-optimized Tl3As structure, with properties calculated at the PBE-GGA level.

a = 7.0287 Å, b = 7.0287 Å, c = 16.0447 Å
α = 90.00°, β = 90.00°, γ = 120.00°
Space group P6_3/mmc (No. 194)
One atom of each set of equivalent atoms:
Tl1 0.0160 0.5080 0.2500
Tl2 0.1659 0.3319 0.5852
As1 0.0000 0.0000 0.2500
As2 0.3333 0.6667 0.0931

Properties
magnetization = 0.000 μB/f.u.
ΔH_f (0 K) = 0.076 eV per atom

---

Record 5
Below is a geometry-optimized TmTlAs2 structure, with properties calculated at the PBE-GGA level.

a = 4.1827 Å, b = 4.1827 Å, c = 20.5459 Å
α = 90.00°, β = 90.00°, γ = 120.00°
Space group R-3m (No. 166, hexagonal axes)
One atom of each set of equivalent atoms:
Tm1 0.0000 0.0000 0.0000
Tl1 0.0000 0.0000 0.5000
As1 0.0000 0.0000 0.2578

Properties
magnetization = 0.000 μB/f.u.
ΔH_f (0 K) = -0.446 eV per atom

---

Record 6
Below is a geometry-optimized TmTlAs structure, with properties calculated at the PBE-GGA level.

a = 5.313 Å, b = 5.313 Å, c = 6.702 Å
α = 90.00°, β = 90.00°, γ = 90.00°
Space group P4/nmm (No. 129, origin choice 2)
One atom of each set of equivalent atoms:
Tm1 0.250 0.750 0.000
Tl1 0.250 0.250 0.439
As1 0.250 0.250 0.887

Properties
energy above the lowest structure with this stoichiometry = 7 kJ/mol of formula units
magnetization = 0.000 μB/f.u.
ΔH_f (0 K) = -0.539 eV per atom

---

Record 7
Below is a geometry-optimized TmTlAs structure, with properties calculated at the PBE-GGA level.

a = 3.938 Å, b = 3.938 Å, c = 11.554 Å
α = 90.00°, β = 90.00°, γ = 90.00°
Space group I4mm (No. 107)
One atom of each set of equivalent atoms:
Tm1 0.000 0.000 0.000
Tl1 0.000 0.000 0.731
As1 0.000 0.000 0.482

Properties
energy above the lowest structure with this stoichiometry = 0 kJ/mol of formula units
magnetization = 0.000 μB/f.u.
ΔH_f (0 K) = -0.564 eV per atom

---

Record 8
Below is a geometry-optimized Tl2V2As structure, with properties calculated at the PBE-GGA level.

a = 8.263 Å, b = 8.263 Å, c = 3.110 Å
α = 90.00°, β = 90.00°, γ = 90.00°
Space group P4/mbm (No. 127)
One atom of each set of equivalent atoms:
Tl1 0.206 0.294 0.000
V1 0.083 0.583 0.500
As1 0.000 0.000 0.000

Properties
energy above the lowest structure with this stoichiometry = 21 kJ/mol of formula units
magnetization = 0.000 μB/f.u.
ΔH_f (0 K) = 0.658 eV per atom

---

Record 9
Below is a geometry-optimized TlV2As structure, with properties calculated at the PBE-GGA level.

a = 6.422 Å, b = 6.422 Å, c = 6.422 Å
α = 90.00°, β = 90.00°, γ = 90.00°
Space group Fm-3m (No. 225)
One atom of each set of equivalent atoms:
Tl1 0.000 0.000 0.000
V1 0.250 0.250 0.250
As1 0.000 0.000 0.500

Properties
energy above the lowest structure with this stoichiometry = 0 kJ/mol of formula units
magnetization = 0.733 μB/f.u.
ΔH_f (0 K) = 0.423 eV per atom

---

Record 10
Below is a geometry-optimized TlV3As structure, with properties calculated at the PBE-GGA level.

a = 4.614 Å, b = 4.614 Å, c = 4.614 Å
α = 90.00°, β = 90.00°, γ = 90.00°
Space group Pm-3m (No. 221)
One atom of each set of equivalent atoms:
Tl1 0.000 0.000 0.000
V1 0.000 0.500 0.500
As1 0.500 0.500 0.500

Properties
energy above the lowest structure with this stoichiometry = 0 kJ/mol of formula units
magnetization = 5.100 μB/f.u.
ΔH_f (0 K) = 0.585 eV per atom

---

Record 11
Below is a geometry-optimized TlV3As structure, with properties calculated at the PBE-GGA level.

a = 5.024 Å, b = 5.024 Å, c = 5.024 Å
α = 90.00°, β = 90.00°, γ = 90.00°
Space group Pm-3m (No. 221)
One atom of each set of equivalent atoms:
Tl1 0.000 0.000 0.000
V1 0.000 0.000 0.500
As1 0.500 0.500 0.500

Properties
energy above the lowest structure with this stoichiometry = 534 kJ/mol of formula units
magnetization = 7.447 μB/f.u.
ΔH_f (0 K) = 1.692 eV per atom

---

Record 12
Below is a geometry-optimized Tl2V2As structure, with properties calculated at the PBE-GGA level.

a = 3.402 Å, b = 3.402 Å, c = 18.005 Å
α = 90.00°, β = 90.00°, γ = 90.00°
Space group I4/mmm (No. 139)
One atom of each set of equivalent atoms:
Tl1 0.000 0.000 0.110
V1 0.000 0.500 0.250
As1 0.000 0.000 0.500

Properties
energy above the lowest structure with this stoichiometry = 0 kJ/mol of formula units
magnetization = 0.000 μB/f.u.
ΔH_f (0 K) = 0.615 eV per atom

---

Record 13
Below is a geometry-optimized TlV2As structure, with properties calculated at the PBE-GGA level.

a = 7.122 Å, b = 7.122 Å, c = 5.790 Å
α = 90.00°, β = 90.00°, γ = 90.00°
Space group I-42d (No. 122)
One atom of each set of equivalent atoms:
Tl1 0.000 0.000 0.000
V1 0.208 0.250 0.625
As1 0.000 0.000 0.500

Properties
energy above the lowest structure with this stoichiometry = 8 kJ/mol of formula units
magnetization = 1.807 μB/f.u.
ΔH_f (0 K) = 0.443 eV per atom

---

Record 14
Below is a geometry-optimized Tl2VAs2 structure, with properties calculated at the PBE-GGA level.

a = 6.545 Å, b = 6.545 Å, c = 5.662 Å
α = 90.00°, β = 90.00°, γ = 90.00°
Space group P4/mbm (No. 127)
One atom of each set of equivalent atoms:
Tl1 0.189 0.311 0.000
V1 0.000 0.000 0.500
As1 0.136 0.636 0.500

Properties
magnetization = 2.520 μB/f.u.
ΔH_f (0 K) = 0.058 eV per atom

---

Record 15
Below is a geometry-optimized TlVAs structure, with properties calculated at the PBE-GGA level.

a = 3.842 Å, b = 3.842 Å, c = 9.479 Å
α = 90.00°, β = 90.00°, γ = 90.00°
Space group P4/nmm (No. 129, origin choice 2)
One atom of each set of equivalent atoms:
Tl1 0.250 0.250 0.161
V1 0.250 0.750 0.500
As1 0.250 0.250 0.672

Properties
energy above the lowest structure with this stoichiometry = 0 kJ/mol of formula units
magnetization = 0.000 μB/f.u.
ΔH_f (0 K) = -0.135 eV per atom

---

Record 16
Below is a geometry-optimized TlVAs structure, with properties calculated at the PBE-GGA level.

a = 12.502 Å, b = 4.598 Å, c = 5.406 Å
α = 90.00°, β = 115.08°, γ = 90.00°
Space group C2/m (No. 12)
One atom of each set of equivalent atoms:
Tl1 0.114 0.000 0.366
V1 0.178 0.000 0.928
As1 0.111 0.500 0.862

Properties
energy above the lowest structure with this stoichiometry = 58 kJ/mol of formula units
magnetization = 0.000 μB/f.u.
ΔH_f (0 K) = 0.065 eV per atom

---

Record 17
Below is a geometry-optimized Tl2VAsW structure, with properties calculated at the PBE-GGA level.

a = 5.327 Å, b = 5.327 Å, c = 4.698 Å
α = 90.00°, β = 90.00°, γ = 90.00°
Space group P4/mmm (No. 123)
One atom of each set of equivalent atoms:
Tl1 0.000 0.500 0.000
V1 0.000 0.000 0.500
As1 0.500 0.500 0.000
W1 0.500 0.500 0.500

Properties
magnetization = 1.051 μB/f.u.
ΔH_f (0 K) = 1.742 eV per atom

---

Record 18
Below is a geometry-optimized TlAsW2 structure, with properties calculated at the PBE-GGA level.

a = 3.280 Å, b = 3.280 Å, c = 7.005 Å
α = 90.00°, β = 90.00°, γ = 90.00°
Space group P4mm (No. 99)
One atom of each set of equivalent atoms:
Tl1 0.000 0.000 0.000
As1 0.500 0.500 0.672
W1 0.000 0.000 0.490
W2 0.500 0.500 0.276

Properties
energy above the lowest structure with this stoichiometry = 0 kJ/mol of formula units
magnetization = 0.000 μB/f.u.
ΔH_f (0 K) = 0.399 eV per atom

---

Record 19
Below is a geometry-optimized TlAs2W structure, with properties calculated at the PBE-GGA level.

a = 3.349 Å, b = 4.744 Å, c = 4.840 Å
α = 90.00°, β = 90.00°, γ = 90.00°
Space group Pmmm (No. 47)
One atom of each set of equivalent atoms:
Tl1 0.000 0.000 0.000
As1 0.000 0.500 0.500
As2 0.500 0.500 0.000
W1 0.500 0.000 0.500

Properties
energy above the lowest structure with this stoichiometry = 328 kJ/mol of formula units
magnetization = 0.000 μB/f.u.
ΔH_f (0 K) = 0.918 eV per atom

---

Record 20
Below is a geometry-optimized TlAsW2 structure, with properties calculated at the PBE-GGA level.

a = 8.482 Å, b = 3.225 Å, c = 6.494 Å
α = 90.00°, β = 100.75°, γ = 90.00°
Space group Cm (No. 8)
One atom of each set of equivalent atoms:
Tl1 0.000 0.000 0.000
As1 0.230 0.000 0.616
W1 0.267 0.500 0.295
W2 0.484 0.000 0.465

Properties
energy above the lowest structure with this stoichiometry = 108 kJ/mol of formula units
magnetization = 0.000 μB/f.u.
ΔH_f (0 K) = 0.679 eV per atom

---

Record 21
Below is a geometry-optimized TlAsW2 structure, with properties calculated at the PBE-GGA level.

a = 3.086 Å, b = 4.637 Å, c = 5.443 Å
α = 90.00°, β = 106.46°, γ = 90.00°
Space group Pm (No. 6)
One atom of each set of equivalent atoms:
Tl1 0.000 0.000 0.000
As1 0.364 0.500 0.735
W1 0.265 0.000 0.522
W2 0.669 0.500 0.342

Properties
energy above the lowest structure with this stoichiometry = 95 kJ/mol of formula units
magnetization = 0.000 μB/f.u.
ΔH_f (0 K) = 0.646 eV per atom

---

Record 22
Below is a geometry-optimized TlAsW3 structure, with properties calculated at the PBE-GGA level.

a = 4.659 Å, b = 4.659 Å, c = 4.659 Å
α = 90.00°, β = 90.00°, γ = 90.00°
Space group Pm-3m (No. 221)
One atom of each set of equivalent atoms:
Tl1 0.000 0.000 0.000
As1 0.500 0.500 0.500
W1 0.000 0.500 0.500

Properties
energy above the lowest structure with this stoichiometry = 0 kJ/mol of formula units
magnetization = 0.000 μB/f.u.
ΔH_f (0 K) = 1.599 eV per atom

---

Record 23
Below is a geometry-optimized TlAs2W structure, with properties calculated at the PBE-GGA level.

a = 6.767 Å, b = 6.767 Å, c = 6.767 Å
α = 90.00°, β = 90.00°, γ = 90.00°
Space group F-43m (No. 216)
One atom of each set of equivalent atoms:
Tl1 0.000 0.000 0.000
As1 0.000 0.000 0.500
As2 0.250 0.250 0.750
W1 0.250 0.250 0.250

Properties
energy above the lowest structure with this stoichiometry = 373 kJ/mol of formula units
magnetization = 0.001 μB/f.u.
ΔH_f (0 K) = 1.034 eV per atom

---

Record 24
Below is a geometry-optimized TlAsW2 structure, with properties calculated at the PBE-GGA level.

a = 3.107 Å, b = 5.176 Å, c = 9.033 Å
α = 90.00°, β = 90.00°, γ = 90.00°
Space group Cmmm (No. 65)
One atom of each set of equivalent atoms:
Tl1 0.000 0.000 0.000
As1 0.000 0.000 0.500
W1 0.000 0.500 0.278

Properties
energy above the lowest structure with this stoichiometry = 172 kJ/mol of formula units
magnetization = 0.000 μB/f.u.
ΔH_f (0 K) = 0.845 eV per atom

---

Record 25
Below is a geometry-optimized TlAs2W structure, with properties calculated at the PBE-GGA level.

a = 3.210 Å, b = 3.414 Å, c = 16.672 Å
α = 90.00°, β = 90.00°, γ = 90.00°
Space group Imm2 (No. 44)
One atom of each set of equivalent atoms:
Tl1 0.000 0.000 0.000
As1 0.000 0.000 0.648
As2 0.000 0.500 0.833
W1 0.000 0.500 0.263

Properties
energy above the lowest structure with this stoichiometry = 44 kJ/mol of formula units
magnetization = 0.000 μB/f.u.
ΔH_f (0 K) = 0.180 eV per atom

---

Record 26
Below is a geometry-optimized TlAsW2 structure, with properties calculated at the PBE-GGA level.

a = 3.069 Å, b = 5.188 Å, c = 9.146 Å
α = 90.00°, β = 90.00°, γ = 90.00°
Space group Immm (No. 71)
One atom of each set of equivalent atoms:
Tl1 0.000 0.000 0.000
As1 0.000 0.000 0.500
W1 0.000 0.500 0.218

Properties
energy above the lowest structure with this stoichiometry = 168 kJ/mol of formula units
magnetization = 0.000 μB/f.u.
ΔH_f (0 K) = 0.836 eV per atom

---

Record 27
Below is a geometry-optimized TlAs3W structure, with properties calculated at the PBE-GGA level.

a = 4.979 Å, b = 4.979 Å, c = 4.979 Å
α = 90.00°, β = 90.00°, γ = 90.00°
Space group Pm-3m (No. 221)
One atom of each set of equivalent atoms:
Tl1 0.000 0.000 0.000
As1 0.000 0.500 0.500
W1 0.500 0.500 0.500

Properties
energy above the lowest structure with this stoichiometry = 0 kJ/mol of formula units
magnetization = 0.000 μB/f.u.
ΔH_f (0 K) = 0.337 eV per atom

---

Looking at D(E_F) for the records above, in order, we have 3.2; 3.0; 8.4; 10.8; 8.1; 3.7; 2.9; 7.9; 23.5; 5.0; 11.0; 10.2; 15.9; 5.5; 4.1; 6.9; 7.7; 1.3; 4.0; 5.4; 2.2; 5.5; 14.7; 7.8; 4.5; 6.4; 3.2 states/eV/cell.